*P*
# ZrAl3Si | Alexandria | PBE | optimized geometry
data_ZrAl3Si
_symmetry_space_group_name_H-M 'P m -3 m'
_symmetry_Int_Tables_number 221
_symmetry_space_group_name_Hall '-P 4 2 3'
_cell_length_a 6.3821
_cell_length_b 6.3821
_cell_length_c 6.3821
_cell_angle_alpha 90.00
_cell_angle_beta 90.00
_cell_angle_gamma 90.00
loop_
_atom_site_label
_atom_site_type_symbol
_atom_site_fract_x
_atom_site_fract_y
_atom_site_fract_z
Zr1 Zr 0.0000 0.0000 0.5000
Al1 Al 0.0000 0.0000 0.0000
Al2 Al 0.2811 0.2811 0.2811
Si1 Si 0.0000 0.5000 0.5000
# Total magnetic moment = 0.00 μB per formula unit
# Fermi-level density of states = 0.849 states/eV per atom


*Q*
# ZrAl3Si | Alexandria | PBE | optimized geometry
data_ZrAl3Si
_symmetry_space_group_name_H-M 'P m -3 m'
_symmetry_Int_Tables_number 221
_symmetry_space_group_name_Hall '-P 4 2 3'
_cell_length_a 4.6977
_cell_length_b 4.6977
_cell_length_c 4.6977
_cell_angle_alpha 90.00
_cell_angle_beta 90.00
_cell_angle_gamma 90.00
loop_
_atom_site_label
_atom_site_type_symbol
_atom_site_fract_x
_atom_site_fract_y
_atom_site_fract_z
Zr1 Zr 0.0000 0.0000 0.0000
Al1 Al 0.0000 0.5000 0.5000
Si1 Si 0.5000 0.5000 0.5000
# Total magnetic moment = 0.00 μB per formula unit
# Fermi-level density of states = 0.611 states/eV per atom


Of them, *Q* has the lowest stability.